1.
Entry from the Alexandria database: a relaxed structure of Li3CuF4 (PBE).

Values from the calculation:
- raw formation energy (eV per atom) = -2.400

a = 6.3889 Å, b = 5.5816 Å, c = 5.1123 Å
α = 90.00°, β = 90.00°, γ = 90.00°
Fractional positions:
Li: 0.0000 0.1727 0.0000
Li: 0.2483 0.6636 0.0016
Li: 0.2517 0.3364 0.5016
Li: 0.5000 0.8273 0.5000
Li: 0.7483 0.3364 0.5016
Li: 0.7517 0.6636 0.0016
Cu: 0.0000 0.8460 0.5005
Cu: 0.5000 0.1540 0.0005
F: 0.0000 0.1978 0.3719
F: 0.0000 0.8397 0.9132
F: 0.2331 0.3461 0.8725
F: 0.2669 0.6539 0.3725
F: 0.5000 0.1603 0.4132
F: 0.5000 0.8022 0.8719
F: 0.7331 0.6539 0.3725
F: 0.7669 0.3461 0.8725


2.
Entry from the Alexandria database: a relaxed structure of Tc2CF (PBE).

Values from the calculation:
- raw formation energy (eV per atom) = 0.277

a = 6.7118 Å, b = 6.7118 Å, c = 6.7118 Å
α = 143.59°, β = 143.59°, γ = 52.44°
Fractional positions:
Tc: 0.0567 0.6250 0.9317
Tc: 0.3750 0.3067 0.4317
Tc: 0.6933 0.1250 0.0683
Tc: 0.8750 0.9433 0.5683
C: 0.0000 0.0000 0.0000
C: 0.7500 0.2500 0.5000
F: 0.2500 0.7500 0.5000
F: 0.5000 0.5000 0.0000


3.
Entry from the Alexandria database: a relaxed structure of Y4ThBi5 (PBE).

Values from the calculation:
- formation enthalpy at 0 K (eV/atom) = -0.838

a = 7.8077 Å, b = 7.8077 Å, c = 7.8077 Å
α = 99.64°, β = 99.64°, γ = 131.68°
Fractional positions:
Y: 0.1020 0.6996 0.8016
Y: 0.3004 0.1020 0.4023
Y: 0.6996 0.8980 0.5977
Y: 0.8980 0.3004 0.1984
Th: 0.5000 0.5000 0.0000
Bi: 0.0000 0.0000 0.0000
Bi: 0.1961 0.3995 0.5955
Bi: 0.3995 0.8039 0.2034
Bi: 0.6005 0.1961 0.7966
Bi: 0.8039 0.6005 0.4045


4.
Entry from the Alexandria database: a relaxed structure of DyY2Cd (PBE).

Values from the calculation:
- formation enthalpy at 0 K (eV/atom) = -0.095

a = 4.8712 Å, b = 4.8712 Å, c = 4.8439 Å
α = 90.00°, β = 90.00°, γ = 90.00°
Fractional positions:
Dy: 0.0000 0.0000 0.0000
Y: 0.0000 0.5000 0.5000
Y: 0.5000 0.0000 0.5000
Cd: 0.5000 0.5000 0.0000


5.
Entry from the Alexandria database: a relaxed structure of KMo3 (PBE).

Values from the calculation:
- formation enthalpy at 0 K (eV/atom) = 1.445

a = 5.7704 Å, b = 5.7704 Å, c = 2.5954 Å
α = 90.00°, β = 90.00°, γ = 121.20°
Fractional positions:
K: 0.0000 0.0000 0.0000
Mo: 0.0000 0.5000 0.5000
Mo: 0.5000 0.0000 0.5000
Mo: 0.5000 0.5000 0.0000


6.
Entry from the Alexandria database: a relaxed structure of Mn2HWS (PBE).

a = 4.5469 Å, b = 4.5469 Å, c = 3.0137 Å
α = 90.00°, β = 90.00°, γ = 90.00°
Fractional positions:
Mn: 0.0000 0.5000 0.0000
Mn: 0.5000 0.0000 0.0000
H: 0.0000 0.0000 0.5000
W: 0.5000 0.5000 0.5000
S: 0.0000 0.0000 0.0000


7.
Entry from the Alexandria database: a relaxed structure of MgMnRu2 (PBE).

Values from the calculation:
- formation enthalpy at 0 K (eV/atom) = 0.218

a = 3.0189 Å, b = 4.2812 Å, c = 4.5180 Å
α = 90.00°, β = 90.00°, γ = 90.00°
Fractional positions:
Mg: 0.0000 0.0000 0.0000
Mn: 0.5000 0.0000 0.5000
Ru: 0.0000 0.5000 0.5000
Ru: 0.5000 0.5000 0.0000


8.
Entry from the Alexandria database: a relaxed structure of Ga2SnSb (PBE).

Values from the calculation:
- raw formation energy (eV per atom) = -0.001

a = 7.5569 Å, b = 7.5569 Å, c = 7.5569 Å
α = 130.88°, β = 130.88°, γ = 72.00°
Fractional positions:
Ga: 0.1250 0.6250 0.0000
Ga: 0.3750 0.3750 0.5000
Ga: 0.6250 0.1250 0.0000
Ga: 0.8750 0.8750 0.5000
Sn: 0.0000 0.0000 0.0000
Sn: 0.7500 0.2500 0.5000
Sb: 0.2500 0.7500 0.5000
Sb: 0.5000 0.5000 0.0000


9.
Entry from the Alexandria database: a relaxed structure of TbSm2Ga2Ag2 (PBE).

Values from the calculation:
- formation enthalpy at 0 K (eV/atom) = -0.375

a = 9.4780 Å, b = 9.4780 Å, c = 9.4780 Å
α = 28.27°, β = 28.27°, γ = 28.27°
Fractional positions:
Tb: 0.0000 0.0000 0.0000
Sm: 0.1251 0.1251 0.1251
Sm: 0.8749 0.8749 0.8749
Ga: 0.2616 0.2616 0.2616
Ga: 0.7384 0.7384 0.7384
Ag: 0.3947 0.3947 0.3947
Ag: 0.6053 0.6053 0.6053


10.
Entry from the Alexandria database: a relaxed structure of VNi3Os (PBE).

Values from the calculation:
- formation enthalpy at 0 K (eV/atom) = -0.098

a = 6.6376 Å, b = 4.4075 Å, c = 8.9324 Å
α = 90.00°, β = 113.20°, γ = 90.00°
Fractional positions:
V: 0.2467 0.1758 0.0019
V: 0.2467 0.3242 0.5019
V: 0.7533 0.6758 0.4981
V: 0.7533 0.8242 0.9981
Ni: 0.0560 0.1743 0.2004
Ni: 0.0560 0.3257 0.7004
Ni: 0.1476 0.6702 0.1002
Ni: 0.1476 0.8298 0.6002
Ni: 0.4551 0.1767 0.7986
Ni: 0.4551 0.3233 0.2986
Ni: 0.5449 0.6767 0.7014
Ni: 0.5449 0.8233 0.2014
Ni: 0.8524 0.1702 0.3998
Ni: 0.8524 0.3298 0.8998
Ni: 0.9440 0.6743 0.2996
Ni: 0.9440 0.8257 0.7996
Os: 0.3457 0.6852 0.8954
Os: 0.3457 0.8148 0.3954
Os: 0.6543 0.1852 0.6046
Os: 0.6543 0.3148 0.1046


11.
Entry from the Alexandria database: a relaxed structure of In2NiAg (PBE).

Values from the calculation:
- formation enthalpy at 0 K (eV/atom) = 0.053

a = 5.5340 Å, b = 5.5340 Å, c = 5.5340 Å
α = 46.51°, β = 46.51°, γ = 46.51°
Fractional positions:
In: 0.0000 0.0000 0.0000
In: 0.2099 0.2099 0.2099
Ni: 0.6145 0.6145 0.6145
Ag: 0.4314 0.4314 0.4314


12.
Entry from the Alexandria database: a relaxed structure of BaTeP2 (PBE).

Values from the calculation:
- raw formation energy (eV per atom) = -0.125

a = 3.9228 Å, b = 4.2198 Å, c = 6.4050 Å
α = 90.00°, β = 90.00°, γ = 90.00°
Fractional positions:
Ba: 0.0000 0.0000 0.0000
Te: 0.0000 0.0000 0.5000
P: 0.5000 0.5000 0.3257
P: 0.5000 0.5000 0.6743


13.
Entry from the Alexandria database: a relaxed structure of Ce2PmPa (PBE).

Values from the calculation:
- formation enthalpy at 0 K (eV/atom) = 0.674

a = 10.0814 Å, b = 10.0814 Å, c = 10.0814 Å
α = 21.91°, β = 21.91°, γ = 21.91°
Fractional positions:
Ce: 0.1117 0.1117 0.1117
Ce: 0.8883 0.8883 0.8883
Pm: 0.0000 0.0000 0.0000
Pa: 0.5000 0.5000 0.5000


14.
Entry from the Alexandria database: a relaxed structure of Sc2Cd4In (PBE).

Values from the calculation:
- formation enthalpy at 0 K (eV/atom) = -0.004

a = 7.6448 Å, b = 6.4740 Å, c = 5.8110 Å
α = 76.76°, β = 55.52°, γ = 47.72°
Fractional positions:
Sc: 0.1422 0.1422 0.8578
Sc: 0.8578 0.8578 0.1422
Cd: 0.0000 0.0000 0.5000
Cd: 0.2500 0.2500 0.2500
Cd: 0.5000 0.5000 0.0000
Cd: 0.7500 0.7500 0.7500
In: 0.5000 0.5000 0.5000


15.
Entry from the Alexandria database: a relaxed structure of Nd2GaSb3Rh4 (PBE).

Values from the calculation:
- raw formation energy (eV per atom) = -0.831

a = 4.4142 Å, b = 4.4142 Å, c = 10.6905 Å
α = 90.00°, β = 90.00°, γ = 90.00°
Fractional positions:
Nd: 0.0000 0.5000 0.2417
Nd: 0.5000 0.0000 0.7583
Ga: 0.5000 0.5000 0.0000
Sb: 0.0000 0.0000 0.0000
Sb: 0.0000 0.5000 0.6361
Sb: 0.5000 0.0000 0.3639
Rh: 0.0000 0.0000 0.5000
Rh: 0.0000 0.5000 0.8753
Rh: 0.5000 0.0000 0.1247
Rh: 0.5000 0.5000 0.5000


16.
Entry from the Alexandria database: a relaxed structure of PaAlZn11 (PBE).

Values from the calculation:
- formation enthalpy at 0 K (eV/atom) = -0.081

a = 6.8469 Å, b = 6.8469 Å, c = 6.8056 Å
α = 98.19°, β = 98.19°, γ = 135.41°
Fractional positions:
Pa: 0.0000 0.0000 0.0000
Al: 0.0000 0.0000 0.5000
Zn: 0.0000 0.5000 0.0000
Zn: 0.0010 0.6461 0.6467
Zn: 0.2869 0.5031 0.7868
Zn: 0.3539 0.9990 0.3533
Zn: 0.4969 0.7131 0.2132
Zn: 0.5000 0.0000 0.0000
Zn: 0.5000 0.5000 0.5000
Zn: 0.5031 0.2869 0.7868
Zn: 0.6461 0.0010 0.6467
Zn: 0.7131 0.4969 0.2132
Zn: 0.9990 0.3539 0.3533


17.
Entry from the Alexandria database: a relaxed structure of Cs2KGeTe4 (PBE).

Values from the calculation:
- raw formation energy (eV per atom) = -0.598

a = 15.1307 Å, b = 13.1448 Å, c = 9.1226 Å
α = 83.52°, β = 59.68°, γ = 36.80°
Fractional positions:
Cs: 0.0616 0.0616 0.6884
Cs: 0.3116 0.3116 0.9384
Cs: 0.6884 0.6884 0.0616
Cs: 0.9384 0.9384 0.3116
K: 0.1250 0.1250 0.1250
K: 0.8750 0.8750 0.8750
Ge: 0.3750 0.3750 0.3750
Ge: 0.6250 0.6250 0.6250
Te: 0.0323 0.5845 0.5191
Te: 0.3641 0.5191 0.5845
Te: 0.4155 0.9677 0.6359
Te: 0.4809 0.6359 0.9677
Te: 0.5191 0.3641 0.0323
Te: 0.5845 0.0323 0.3641
Te: 0.6359 0.4809 0.4155
Te: 0.9677 0.4155 0.4809


18.
Entry from the Alexandria database: a relaxed structure of La5Tm2Sc (PBE).

Values from the calculation:
- formation enthalpy at 0 K (eV/atom) = 0.034

a = 7.2049 Å, b = 7.2049 Å, c = 7.2049 Å
α = 119.52°, β = 119.52°, γ = 90.84°
Fractional positions:
La: 0.0000 0.0000 0.0000
La: 0.4997 0.4997 0.5007
La: 0.4997 0.9989 0.0000
La: 0.9989 0.4997 0.0000
La: 0.9989 0.9989 0.4993
Tm: 0.4994 0.9994 0.5000
Tm: 0.9994 0.4994 0.5000
Sc: 0.4991 0.4991 0.0000


19.
Entry from the Alexandria database: a relaxed structure of Zr3Zn4In (PBE).

Values from the calculation:
- formation enthalpy at 0 K (eV/atom) = -0.075

a = 10.0649 Å, b = 10.0649 Å, c = 10.0649 Å
α = 163.09°, β = 148.08°, γ = 36.34°
Fractional positions:
Zr: 0.0000 0.0000 0.0000
Zr: 0.2609 0.7609 0.5000
Zr: 0.7391 0.2391 0.5000
Zn: 0.1134 0.3757 0.7376
Zn: 0.3619 0.6243 0.7376
Zn: 0.6381 0.3757 0.2624
Zn: 0.8866 0.6243 0.2624
In: 0.5000 0.5000 0.0000


20.
Entry from the Alexandria database: a relaxed structure of Th3GeOs (PBE).

Values from the calculation:
- formation enthalpy at 0 K (eV/atom) = -0.287

a = 7.2601 Å, b = 7.2645 Å, c = 7.9612 Å
α = 90.06°, β = 117.07°, γ = 119.90°
Fractional positions:
Th: 0.0300 0.4520 0.2473
Th: 0.2949 0.0770 0.2464
Th: 0.3316 0.2836 0.7526
Th: 0.6684 0.7164 0.2474
Th: 0.7051 0.9230 0.7536
Th: 0.9700 0.5480 0.7527
Ge: 0.2039 0.8521 0.5562
Ge: 0.7961 0.1479 0.4438
Os: 0.1689 0.3342 0.0032
Os: 0.8311 0.6658 0.9968


21.
Entry from the Alexandria database: a relaxed structure of La2Ho2Tl (PBE).

Values from the calculation:
- formation enthalpy at 0 K (eV/atom) = -0.123

a = 6.1418 Å, b = 6.1418 Å, c = 7.9020 Å
α = 129.71°, β = 129.71°, γ = 46.55°
Fractional positions:
La: 0.1153 0.1153 0.3104
La: 0.8847 0.8847 0.6896
Ho: 0.2999 0.2999 0.9137
Ho: 0.7001 0.7001 0.0863
Tl: 0.5000 0.5000 0.5000


22.
Entry from the Alexandria database: a relaxed structure of Mg4Zn2Ag5 (PBE).

Values from the calculation:
- formation enthalpy at 0 K (eV/atom) = -0.059

a = 8.2904 Å, b = 8.2904 Å, c = 6.9742 Å
α = 92.36°, β = 92.36°, γ = 26.95°
Fractional positions:
Mg: 0.0543 0.0543 0.2863
Mg: 0.2556 0.2556 0.1748
Mg: 0.7444 0.7444 0.8252
Mg: 0.9457 0.9457 0.7137
Zn: 0.4268 0.4268 0.3834
Zn: 0.5732 0.5732 0.6166
Ag: 0.1192 0.1192 0.9064
Ag: 0.1891 0.1891 0.5420
Ag: 0.5000 0.5000 0.0000
Ag: 0.8109 0.8109 0.4580
Ag: 0.8808 0.8808 0.0936


23.
Entry from the Alexandria database: a relaxed structure of Ba3Pu2PaAs6 (PBE).

Values from the calculation:
- formation enthalpy at 0 K (eV/atom) = -1.051

a = 7.5597 Å, b = 7.5597 Å, c = 7.8392 Å
α = 99.25°, β = 99.25°, γ = 120.00°
Fractional positions:
Ba: 0.0000 0.0000 0.0000
Ba: 0.3318 0.6682 0.0000
Ba: 0.6682 0.3318 0.0000
Pu: 0.1664 0.8336 0.5000
Pu: 0.8336 0.1664 0.5000
Pa: 0.5000 0.5000 0.5000
As: 0.1060 0.4331 0.2989
As: 0.2404 0.2404 0.7019
As: 0.4331 0.1060 0.2989
As: 0.5669 0.8940 0.7011
As: 0.7596 0.7596 0.2981
As: 0.8940 0.5669 0.7011


24.
Entry from the Alexandria database: a relaxed structure of TaGeSb3 (PBE).

Values from the calculation:
- raw formation energy (eV per atom) = 1.308

a = 5.1660 Å, b = 5.1660 Å, c = 5.1660 Å
α = 90.00°, β = 90.00°, γ = 90.00°
Fractional positions:
Ta: 0.0000 0.0000 0.0000
Ge: 0.5000 0.5000 0.5000
Sb: 0.0000 0.5000 0.5000
Sb: 0.5000 0.0000 0.5000
Sb: 0.5000 0.5000 0.0000


The following calculated total energy values (in eV per atom) correspond, in order, to the records above: -4.566, -7.680, -6.106, -4.707, -6.953, -7.171, -7.111, -3.546, -4.064, -7.637, -3.474, -4.096, -5.854, -2.727, -6.265, -2.177, -3.097, -4.955, -4.260, -7.908, -4.399, -2.167, -7.036, -4.459.